Record 1
A plane-wave DFT calculation with PBE was carried out for crystalline NaSrLaBr2 at its relaxed geometry.

```
data_NaSrLaBr2
_cell_length_a 5.4561
_cell_length_b 6.5634
_cell_length_c 5.4561
_cell_angle_alpha 90.00
_cell_angle_beta 90.00
_cell_angle_gamma 90.00
_space_group_name_H-M_alt 'P 1'
_space_group_IT_number 1
loop_
_space_group_symop_operation_xyz
'x,y,z'
loop_
_atom_site_label
_atom_site_type_symbol
_atom_site_fract_x
_atom_site_fract_y
_atom_site_fract_z
La1 La 0.5000 0.5000 0.5000
Na1 Na 0.0000 0.0000 0.0000
Br1 Br 0.5000 0.0000 0.0000
Br2 Br 0.0000 0.0000 0.5000
Sr1 Sr 0.0000 0.5000 0.0000
```

Density of states at the Fermi level ... 0.887 states/eV per atom

***

Record 2
A plane-wave DFT calculation with PBE was carried out for crystalline GeRhNF2 at its relaxed geometry.

```
data_GeRhNF2
_cell_length_a 4.1507
_cell_length_b 4.1507
_cell_length_c 3.5707
_cell_angle_alpha 90.00
_cell_angle_beta 90.00
_cell_angle_gamma 90.00
_space_group_name_H-M_alt 'P 1'
_space_group_IT_number 1
loop_
_space_group_symop_operation_xyz
'x,y,z'
loop_
_atom_site_label
_atom_site_type_symbol
_atom_site_fract_x
_atom_site_fract_y
_atom_site_fract_z
Rh1 Rh 0.5000 0.5000 0.5000
N1 N 0.0000 0.0000 0.5000
F1 F 0.0000 0.5000 0.0000
F2 F 0.5000 0.0000 0.0000
Ge1 Ge 0.0000 0.0000 0.0000
```

E above lowest polymorph ... 0.174 eV/atom
Density of states at the Fermi level ... 1.167 states/eV per atom

***

So what do the calculations give for total moment? Going down the list: 0.912, 2.109 μB per formula unit.
So what do the calculations give for formation energy (no corrections)? Going down the list: -0.405, -0.065 eV per atom.